A plane-wave DFT calculation with PBE was carried out for an optimized crystal structure of AlCu2Si.

Cell and atoms, written as POSCAR:
```
AlCu2Si
1.0
0.425 1.835 -3.918
-3.393 1.018 2.520
3.751 5.322 2.899
Al Cu Si
2 4 2
direct
0.000 0.000 0.250 Al
0.000 0.000 0.750 Al
0.333 0.667 0.579 Cu
0.667 0.333 0.079 Cu
0.667 0.333 0.421 Cu
0.333 0.667 0.921 Cu
0.333 0.667 0.250 Si
0.667 0.333 0.750 Si
```

## Properties
Crystal system: hexagonal
E (eV/atom): -4.186
Size of the total moment (μB/atom): 0.0000
Raw formation energy (eV/atom): 0.15

***

A plane-wave DFT calculation with PBE was carried out for an optimized crystal structure of AlCu2Si.

Cell and atoms, written as POSCAR:
```
AlCu2Si
1.0
4.617 -0.050 0.027
3.748 2.698 0.027
0.471 0.149 4.247
Si Al Cu
1 1 2
direct
0.499 0.499 0.517 Si
0.253 0.253 0.236 Al
0.000 0.000 0.005 Cu
0.748 0.748 0.742 Cu
```

## Properties
Crystal system: monoclinic
E (eV/atom): -4.359
Size of the total moment (μB/atom): 0.0000
Raw formation energy (eV/atom): -0.02

***

A plane-wave DFT calculation with PBE was carried out for an optimized crystal structure of AlCuSi.

Cell and atoms, written as POSCAR:
```
AlCuSi
1.0
4.267 -0.003 0.044
0.328 6.831 -0.029
-0.027 -2.328 3.254
Si Al Cu
2 2 2
direct
0.021 0.730 0.588 Si
0.509 0.965 0.823 Si
0.564 0.454 0.311 Al
0.071 0.430 0.789 Al
0.141 0.944 0.302 Cu
0.596 0.196 0.554 Cu
```

## Properties
Crystal system: triclinic
E (eV/atom): -4.381
Size of the total moment (μB/atom): 0.0000
Raw formation energy (eV/atom): 0.04

***

A plane-wave DFT calculation with PBE was carried out for an optimized crystal structure of AlCu2Si.

Cell and atoms, written as POSCAR:
```
AlCu2Si
1.0
2.109 -3.652 0.000
2.109 3.652 0.000
0.000 0.000 7.325
Al Cu Si
2 4 2
direct
0.000 0.000 0.000 Al
0.000 0.000 0.500 Al
0.667 0.333 0.583 Cu
0.333 0.667 0.083 Cu
0.333 0.667 0.417 Cu
0.667 0.333 0.917 Cu
0.667 0.333 0.250 Si
0.333 0.667 0.750 Si
```

## Properties
Crystal system: hexagonal
E (eV/atom): -4.236
Size of the total moment (μB/atom): 0.0000
Raw formation energy (eV/atom): 0.10

***

Number 4 is which compound? AlCu2Si

***

Please write out number 2 again, unchanged.
A plane-wave DFT calculation with PBE was carried out for an optimized crystal structure of AlCu2Si.

Cell and atoms, written as POSCAR:
```
AlCu2Si
1.0
4.617 -0.050 0.027
3.748 2.698 0.027
0.471 0.149 4.247
Si Al Cu
1 1 2
direct
0.499 0.499 0.517 Si
0.253 0.253 0.236 Al
0.000 0.000 0.005 Cu
0.748 0.748 0.742 Cu
```

## Properties
Crystal system: monoclinic
E (eV/atom): -4.359
Size of the total moment (μB/atom): 0.0000
Raw formation energy (eV/atom): -0.02

***

Which of these has the lowest E? AlCuSi